# Li2Zn2Pd, optimized geometry, DFT PBE
# magnetization	0.00	μB per cell
# crystal system	monoclinic
# formation energy	-1.73	eV per formula unit
# space group	C2/m
# volume	13.9	A^3/atom
data_Li2Zn2Pd
_chemical_formula_sum 'Li2 Zn2 Pd1'
_symmetry_space_group_name_H-M 'P 1'
_symmetry_Int_Tables_number 1
_symmetry_space_group_name_Hall 'P 1'
_cell_length_a 4.260
_cell_length_b 4.260
_cell_length_c 5.054
_cell_angle_alpha 65.21
_cell_angle_beta 65.21
_cell_angle_gamma 60.13
loop_
_atom_site_label
_atom_site_fract_x
_atom_site_fract_y
_atom_site_fract_z
Zn1 0.202 0.702 0.395
Zn2 0.798 0.298 0.605
Pd1 0.000 0.500 0.000
Li1 0.604 0.104 0.190
Li2 0.396 0.896 0.810